1.
Compound: HoFe2H7
Source: Alexandria via LeMat-Bulk
Functional: PBE
Structure: optimized geometry

## Properties
Symmetry = No. 65
Raw total energy = -4.6547 eV per atom

POSCAR file:
```
HoFe2H7
1.0
3.4418 0.0000 0.0000
0.0000 4.4761 -2.4426
0.0000 -0.3144 4.7464
Fe H Ho
2 7 1
Cartesian
1.7209 3.0077 0.1891
1.7209 1.1540 2.1147
1.7209 2.7775 1.8063
1.7209 4.1455 -1.0094
1.7209 0.0162 3.3132
0.0000 1.1552 2.1169
1.7209 1.3842 0.4974
1.7209 2.2381 -1.2213
0.0000 3.0065 0.1869
0.0000 0.0000 0.0000
```

2.
Compound: Gd2GeBi
Source: Alexandria via LeMat-Bulk
Functional: PBE
Structure: optimized geometry

## Properties
Symmetry = No. 166
Formation energy from the elements = -0.77 eV/atom

POSCAR file:
```
Gd2GeBi
1.0
-0.3488 3.0986 2.8982
-3.4067 0.1575 2.5481
2.2848 -3.1859 6.8078
Ge Gd Bi
1 2 1
Cartesian
0.0000 0.0000 0.0000
-1.0098 -0.0599 9.3222
-0.4609 0.1302 2.9319
-0.7354 0.0351 6.1271
```

3.
Compound: Dy6CuAu5
Source: Alexandria via LeMat-Bulk
Functional: PBE
Structure: optimized geometry

## Properties
Symmetry = No. 65
Formation energy from the elements = -0.76 eV/atom

POSCAR file:
```
Dy6CuAu5
1.0
4.8204 -0.0287 1.6064
0.0382 7.1212 0.0127
-0.0066 -0.0144 8.0553
Au Dy Cu
5 6 1
Cartesian
1.6123 3.5462 3.2613
1.6320 -0.0144 3.1383
3.1818 -0.0287 6.5234
3.2398 3.5319 6.4132
0.0191 3.5606 0.0064
4.0299 1.7357 4.0101
0.8222 5.3424 5.6644
4.0492 5.3281 4.0166
0.8028 1.7500 5.6579
2.4197 1.7543 0.8064
2.4390 5.3382 0.8128
0.0000 0.0000 0.0000
```

4.
Compound: BaZr2Sc2
Source: Alexandria via LeMat-Bulk
Functional: PBE
Structure: optimized geometry

## Properties
Symmetry = No. 127
Formation energy from the elements = 0.30 eV/atom

POSCAR file:
```
BaZr2Sc2
1.0
9.2429 0.0000 0.0000
0.0000 9.2429 0.0000
0.0000 0.0000 3.3138
Sc Zr Ba
4 4 2
Cartesian
5.7226 1.1012 0.0000
3.5203 8.1418 0.0000
1.1012 3.5203 0.0000
8.1418 5.7226 0.0000
7.6926 3.0711 1.6569
6.1718 7.6926 1.6569
3.0711 1.5503 1.6569
1.5503 6.1718 1.6569
4.6215 4.6215 0.0000
0.0000 0.0000 0.0000
```